Run one
Entry from the Alexandria database: a relaxed MgCoBr crystal (PBE).

Cell: 4.096 4.096 3.549 Å, 90.00 90.00 120.00°
Atoms (fractional coordinates):
Br  0.000  0.000  0.166
Mg  0.667  0.333  0.666
Co  0.333  0.667  0.167

=====

Run two
Entry from the Alexandria database: a relaxed MgCoBr crystal (PBE).

Cell: 3.754 3.754 11.318 Å, 98.85 90.66 120.01°
Atoms (fractional coordinates):
Co  0.722  0.581  0.629
Br  0.836  0.786  0.948
Co  0.389  0.914  0.629
Br  0.609  0.377  0.310
Mg  0.993  0.135  0.453
Mg  0.118  0.360  0.804

=====

Which structure is the most stable? The one labeled run two.

=====

Run one
Entry from the Alexandria database: a relaxed CuPd8Au3 crystal (PBE).

Cell: 4.885 6.909 6.333 Å, 68.23 74.79 89.99°
Atoms (fractional coordinates):
Pd  0.786  0.038  0.878
Cu  0.043  0.790  0.621
Pd  0.293  0.543  0.373
Pd  0.541  0.288  0.126
Pd  0.463  0.710  0.867
Au  0.956  0.197  0.384
Pd  0.369  0.117  0.628
Pd  0.619  0.870  0.381
Au  0.876  0.628  0.118
Pd  0.713  0.461  0.624
Pd  0.208  0.953  0.129
Au  0.130  0.376  0.868

=====

Run two
Entry from the Alexandria database: a relaxed CuPd8Au3 crystal (PBE).

Cell: 6.847 6.847 6.847 Å, 92.06 118.82 118.82°
Atoms (fractional coordinates):
Pd  0.529  0.715  0.715
Cu  0.000  0.000  0.000
Pd  0.732  0.084  0.084
Au  0.000  0.500  0.500
Pd  0.000  0.648  0.916
Pd  0.000  0.916  0.648
Au  0.500  0.750  0.250
Pd  0.268  0.352  0.352
Pd  0.000  0.814  0.285
Pd  0.000  0.285  0.814
Au  0.500  0.250  0.750
Pd  0.471  0.186  0.186

=====

Which structure is the most stable? The one labeled run one.

=====

Run one
Entry from the Alexandria database: a relaxed ZrMnPb2 crystal (PBE).

Cell: 3.272 3.272 8.447 Å, 90.00 90.00 90.00°
Atoms (fractional coordinates):
Zr  0.500  0.500  0.250
Pb  0.000  0.000  0.519
Pb  0.000  0.000  0.981
Mn  0.500  0.500  0.750

=====

Run two
Entry from the Alexandria database: a relaxed ZrMnPb2 crystal (PBE).

Cell: 5.902 5.902 5.902 Å, 137.84 137.82 61.16°
Atoms (fractional coordinates):
Zr  0.500  0.500  0.000
Pb  0.000  0.000  0.000
Pb  0.750  0.250  0.500
Mn  0.250  0.750  0.500

=====

Which structure is the most stable? The one labeled run two.